Density functional theory data (GGA-PBE) for a geometry-optimized UPa3N6 structure.

Values from the calculation:
DOS(E_F) ... 7.536 states/eV per cell
Magnetic moment ... 3.05 μB/cell
Final energy ... -10.449 eV per atom
Energy relative to the lowest polymorph listed for this composition ... 0 meV/atom

Unit cell a=6.0095 b=6.0095 c=6.0095 alpha=60.13 beta=60.13 gamma=60.13
Last column: nearest neighbours and their distance in Å.
Element x y z (fractional)
U: 0.0000 0.0000 0.0000  6 N 2.30-2.38
Pa: 0.2772 0.2772 0.2772  6 N 2.33-2.37
Pa: 0.4985 0.4985 0.4985  6 N 2.31-2.37
Pa: 0.7770 0.7770 0.7770  6 N 2.32-2.36
N: 0.1029 0.3859 0.6756  1 U 2.30, 3 Pa 2.32-2.37
N: 0.1733 0.8857 0.6040  3 Pa 2.31-2.36, 1 U 2.38
N: 0.3859 0.6756 0.1029  1 U 2.30, 3 Pa 2.32-2.37
N: 0.6040 0.1733 0.8857  3 Pa 2.31-2.36, 1 U 2.38
N: 0.6756 0.1029 0.3859  1 U 2.30, 3 Pa 2.32-2.37
N: 0.8857 0.6040 0.1733  3 Pa 2.31-2.36, 1 U 2.38